{
  "formula": "YHo4Mg2",
  "functional": "PBE",
  "state": "optimized geometry",
  "density_g_cm3": 6.5,
  "magnetic_moment_mub_per_cell": 0.0,
  "energy_ev_per_atom": -3.924,
  "lattice_angstrom": [[-1.134, 5.314, -0.027], [-3.827, 1.978, 3.311], [3.868, 3.638, 6.755]],
  "species": ["Y", "Ho", "Ho", "Ho", "Ho", "Mg", "Mg"],
  "fractional_positions": [[0.500, 0.500, 0.500], [0.792, 0.792, 0.623], [0.932, 0.932, 0.205], [0.208, 0.208, 0.377], [0.068, 0.068, 0.795], [0.649, 0.649, 0.054], [0.351, 0.351, 0.946]]
}

=====

{
  "formula": "Ca3Zn9Rh2",
  "functional": "PBE",
  "state": "optimized geometry",
  "density_g_cm3": 5.9,
  "magnetic_moment_mub_per_cell": 0.0,
  "energy_ev_per_atom": -2.644,
  "lattice_angstrom": [[-3.328, -1.463, 2.287], [2.833, -6.697, 3.871], [1.905, 1.630, 7.847]],
  "species": ["Ca", "Ca", "Ca", "Zn", "Zn", "Zn", "Zn", "Zn", "Zn", "Zn", "Zn", "Zn", "Rh", "Rh"],
  "fractional_positions": [[0.000, 0.000, 0.000], [0.692, 0.308, 0.308], [0.308, 0.692, 0.692], [0.000, 0.500, 0.500], [0.664, 0.980, 0.693], [0.336, 0.020, 0.307], [0.664, 0.693, 0.980], [0.336, 0.307, 0.020], [0.879, 0.841, 0.402], [0.121, 0.159, 0.598], [0.879, 0.402, 0.841], [0.121, 0.598, 0.159], [0.500, 0.314, 0.686], [0.500, 0.686, 0.314]]
}

=====

{
  "formula": "CoPRh2",
  "functional": "PBE",
  "state": "optimized geometry",
  "density_g_cm3": 9.5,
  "magnetic_moment_mub_per_cell": 2.0,
  "energy_ev_per_atom": -7.012,
  "lattice_angstrom": [[-2.300, -3.032, -2.390], [-1.202, -4.269, 0.721], [-3.895, -0.689, 1.100]],
  "species": ["Co", "P", "Rh", "Rh"],
  "fractional_positions": [[0.750, 0.750, 0.750], [0.250, 0.250, 0.250], [0.968, 0.968, 0.033], [0.532, 0.532, 0.467]]
}

=====

{
  "formula": "Ac2Al5Au",
  "functional": "PBE",
  "state": "optimized geometry",
  "density_g_cm3": 6.8,
  "magnetic_moment_mub_per_cell": 0.0,
  "energy_ev_per_atom": -4.243,
  "lattice_angstrom": [[4.651, 0.000, 0.000], [-2.326, 8.748, 0.000], [0.000, 0.000, 9.364]],
  "species": ["Ac", "Ac", "Ac", "Ac", "Al", "Al", "Al", "Al", "Al", "Al", "Al", "Al", "Al", "Al", "Au", "Au"],
  "fractional_positions": [[0.796, 0.591, 0.750], [0.204, 0.409, 0.250], [0.000, 0.000, 0.000], [0.000, 0.000, 0.500], [0.184, 0.368, 0.892], [0.816, 0.632, 0.108], [0.184, 0.368, 0.608], [0.816, 0.632, 0.392], [0.353, 0.706, 0.981], [0.647, 0.294, 0.019], [0.353, 0.706, 0.519], [0.647, 0.294, 0.481], [0.589, 0.178, 0.750], [0.411, 0.822, 0.250], [0.439, 0.879, 0.750], [0.561, 0.121, 0.250]]
}

=====

{
  "formula": "Na2CoTc",
  "functional": "PBE",
  "state": "optimized geometry",
  "density_g_cm3": 4.5,
  "magnetic_moment_mub_per_cell": 4.5,
  "de_polymorph_mev_per_atom": 169.5,
  "lattice_angstrom": [[-4.605, -0.551, -0.901], [-2.944, 3.672, 0.414], [-1.902, 1.950, -3.860]],
  "species": ["Na", "Na", "Co", "Tc"],
  "fractional_positions": [[0.250, 0.250, 0.250], [0.750, 0.750, 0.750], [0.000, 0.000, 0.000], [0.500, 0.500, 0.500]]
}

=====

{
  "formula": "Ho3Tm4Pu",
  "functional": "PBE",
  "state": "optimized geometry",
  "density_g_cm3": 9.4,
  "magnetic_moment_mub_per_cell": 7.0,
  "de_polymorph_mev_per_atom": 407.0,
  "lattice_angstrom": [[3.313, 0.000, 0.000], [0.000, 8.418, -2.296], [0.000, 1.265, 8.634]],
  "species": ["Tm", "Tm", "Tm", "Tm", "Ho", "Ho", "Ho", "Pu"],
  "fractional_positions": [[0.000, 0.761, 0.761], [0.500, 0.242, 0.758], [0.000, 0.239, 0.239], [0.500, 0.758, 0.242], [0.000, 0.000, 0.500], [0.500, 0.500, 0.500], [0.000, 0.500, 0.000], [0.500, 0.000, 0.000]]
}